Compound: TlAsW2
Source: Alexandria
Functional: GGA-PBEsol
Structure: relaxed

## Properties
Energy above the most stable polymorph in this dataset (meV per atom): 58.1
E_tot (eV per cell): -127.29
Total moment (μB per atom): 0.000

Cell lengths 6.5480, 6.5480, 6.5480 Å; angles 90.00, 90.00, 90.00 degrees
Space group F-43m (No. 216)
Unique sites:
1 Tl 0.0000 0.0000 0.0000 [4 per cell]
2 As 0.2500 0.2500 0.2500 [4 per cell]
3 W 0.0000 0.0000 0.5000 [4 per cell]
4 W 0.2500 0.2500 0.7500 [4 per cell]



Compound: TlAsW
Source: Alexandria
Functional: GGA-PBEsol
Structure: relaxed

## Properties
E_tot (eV per cell): -20.45
Total moment (μB per atom): 0.000

Cell lengths 3.1676, 3.1676, 6.6387 Å; angles 90.00, 90.00, 120.00 degrees
Space group P3m1 (No. 156)
Unique sites:
1 Tl 0.0000 0.0000 0.0000 [1 per cell]
2 As 0.6667 0.3333 0.3889 [1 per cell]
3 W 0.3333 0.6667 0.6448 [1 per cell]



Compound: TlAs2W
Source: Alexandria
Functional: GGA-PBEsol
Structure: relaxed

## Properties
Energy above the most stable polymorph in this dataset (meV per atom): 24.2
E_tot (eV per cell): -47.14
Total moment (μB per atom): 0.001

Cell lengths 5.7635, 7.5434, 3.3704 Å; angles 90.00, 90.00, 90.00 degrees
Space group Cmmm (No. 65)
Unique sites:
1 Tl 0.0000 0.0000 0.0000 [2 per cell]
2 As 0.2500 0.2500 0.5000 [4 per cell]
3 W 0.0000 0.5000 0.0000 [2 per cell]



Compound: TlAs2W
Source: Alexandria
Functional: GGA-PBEsol
Structure: relaxed

## Properties
Energy above the most stable polymorph in this dataset (meV per atom): 0.0
E_tot (eV per cell): -47.33
Total moment (μB per atom): 0.193

Cell lengths 4.5162, 4.5162, 7.1804 Å; angles 90.00, 90.00, 90.00 degrees
Space group I4/mmm (No. 139)
Unique sites:
1 Tl 0.0000 0.0000 0.0000 [2 per cell]
2 As 0.0000 0.5000 0.2500 [4 per cell]
3 W 0.0000 0.0000 0.5000 [2 per cell]



Compound: TlAsW2
Source: Alexandria
Functional: GGA-PBEsol
Structure: relaxed

## Properties
Energy above the most stable polymorph in this dataset (meV per atom): 0.0
E_tot (eV per cell): -32.05
Total moment (μB per atom): 0.000

Cell lengths 3.0071, 3.9794, 6.1960 Å; angles 90.00, 100.07, 90.00 degrees
Space group P2/m (No. 10)
Unique sites:
1 Tl 0.0000 0.0000 0.0000 [1 per cell]
2 As 0.5000 0.0000 0.5000 [1 per cell]
3 W 0.2280 0.5000 0.6885 [2 per cell]



Compound: YTlAs3
Source: Alexandria
Functional: GGA-PBEsol
Structure: relaxed

## Properties
E_tot (eV per cell): -23.50
Total moment (μB per atom): 0.000

Cell lengths 5.3602, 5.3602, 5.3602 Å; angles 90.00, 90.00, 90.00 degrees
Space group Pm-3m (No. 221)
Unique sites:
1 Y 0.0000 0.0000 0.0000 [1 per cell]
2 Tl 0.5000 0.5000 0.5000 [1 per cell]
3 As 0.0000 0.0000 0.5000 [3 per cell]



Compound: Y2TlAs
Source: Alexandria
Functional: GGA-PBEsol
Structure: relaxed

## Properties
Energy above the most stable polymorph in this dataset (meV per atom): 344.9
E_tot (eV per cell): -95.58
Total moment (μB per atom): 0.000

Cell lengths 7.2798, 7.2798, 7.2798 Å; angles 90.00, 90.00, 90.00 degrees
Space group Fm-3m (No. 225)
Unique sites:
1 Y 0.2500 0.2500 0.2500 [8 per cell]
2 Tl 0.0000 0.0000 0.0000 [4 per cell]
3 As 0.0000 0.0000 0.5000 [4 per cell]



Compound: Y2TlAs
Source: Alexandria
Functional: GGA-PBEsol
Structure: relaxed

## Properties
Energy above the most stable polymorph in this dataset (meV per atom): 0.0
E_tot (eV per cell): -75.82
Total moment (μB per atom): 0.000

Cell lengths 3.9498, 3.9498, 23.2826 Å; angles 90.00, 90.00, 120.00 degrees
Space group R-3m (No. 166, hexagonal axes)
Unique sites:
1 Y 0.0000 0.0000 0.2376 [6 per cell]
2 Tl 0.0000 0.0000 0.0000 [3 per cell]
3 As 0.0000 0.0000 0.5000 [3 per cell]



Compound: Y2TlAs
Source: Alexandria
Functional: GGA-PBEsol
Structure: relaxed

## Properties
Energy above the most stable polymorph in this dataset (meV per atom): 913.8
E_tot (eV per cell): -86.47
Total moment (μB per atom): 0.000

Cell lengths 7.3261, 7.3261, 7.3261 Å; angles 90.00, 90.00, 90.00 degrees
Space group F-43m (No. 216)
Unique sites:
1 Y 0.0000 0.0000 0.0000 [4 per cell]
2 Y 0.2500 0.2500 0.2500 [4 per cell]
3 Tl 0.0000 0.0000 0.5000 [4 per cell]
4 As 0.2500 0.2500 0.7500 [4 per cell]



Compound: YTlAs
Source: Alexandria
Functional: GGA-PBEsol
Structure: relaxed

## Properties
E_tot (eV per cell): -61.85
Total moment (μB per atom): 0.000

Cell lengths 6.9062, 6.9062, 6.9062 Å; angles 90.00, 90.00, 90.00 degrees
Space group F-43m (No. 216)
Unique sites:
1 Y 0.0000 0.0000 0.0000 [4 per cell]
2 Tl 0.2500 0.2500 0.2500 [4 per cell]
3 As 0.2500 0.2500 0.7500 [4 per cell]



Compound: TlZnAs2
Source: Alexandria
Functional: GGA-PBEsol
Structure: relaxed

## Properties
Energy above the most stable polymorph in this dataset (meV per atom): 5.2
E_tot (eV per cell): -41.83
Total moment (μB per atom): 0.000

Cell lengths 3.6473, 3.6473, 22.2363 Å; angles 90.00, 90.00, 120.00 degrees
Space group R3m (No. 160, hexagonal axes)
Unique sites:
1 Tl 0.0000 0.0000 0.0000 [3 per cell]
2 Zn 0.0000 0.0000 0.2432 [3 per cell]
3 As 0.0000 0.0000 0.5021 [3 per cell]
4 As 0.0000 0.0000 0.7684 [3 per cell]



Compound: TlZnAs2
Source: Alexandria
Functional: GGA-PBEsol
Structure: relaxed

## Properties
Energy above the most stable polymorph in this dataset (meV per atom): 0.0
E_tot (eV per cell): -55.86
Total moment (μB per atom): 0.000

Cell lengths 5.8390, 5.8390, 11.9437 Å; angles 90.00, 90.00, 90.00 degrees
Space group I-42d (No. 122)
Unique sites:
1 Tl 0.0000 0.0000 0.0000 [4 per cell]
2 Zn 0.0000 0.0000 0.5000 [4 per cell]
3 As 0.2115 0.2500 0.6250 [8 per cell]



Compound: TlZnAs2
Source: Alexandria
Functional: GGA-PBEsol
Structure: relaxed

## Properties
Energy above the most stable polymorph in this dataset (meV per atom): 7.3
E_tot (eV per cell): -27.87
Total moment (μB per atom): 0.000

Cell lengths 7.4785, 3.5620, 7.0450 Å; angles 90.00, 110.09, 90.00 degrees
Space group Cm (No. 8)
Unique sites:
1 Tl 0.0000 0.0000 0.0000 [2 per cell]
2 Zn 0.3115 0.5000 0.2838 [2 per cell]
3 As 0.0771 0.5000 0.4588 [2 per cell]
4 As 0.1942 0.0000 0.7231 [2 per cell]



Compound: TlZn3As
Source: Alexandria
Functional: GGA-PBEsol
Structure: relaxed

## Properties
E_tot (eV per cell): -8.02
Total moment (μB per atom): 0.000

Cell lengths 4.9712, 4.9712, 4.9712 Å; angles 90.00, 90.00, 90.00 degrees
Space group Pm-3m (No. 221)
Unique sites:
1 Tl 0.0000 0.0000 0.0000 [1 per cell]
2 Zn 0.0000 0.0000 0.5000 [3 per cell]
3 As 0.5000 0.5000 0.5000 [1 per cell]



Compound: TlZn2As
Source: Alexandria
Functional: GGA-PBEsol
Structure: relaxed

## Properties
E_tot (eV per cell): -20.36
Total moment (μB per atom): 0.000

Cell lengths 4.1245, 4.7614, 7.9632 Å; angles 90.00, 90.00, 90.00 degrees
Space group Cmm2 (No. 35)
Unique sites:
1 Tl 0.0000 0.0000 0.0000 [2 per cell]
2 Zn 0.0000 0.0000 0.5280 [2 per cell]
3 Zn 0.0000 0.5000 0.7186 [2 per cell]
4 As 0.0000 0.5000 0.3265 [2 per cell]



Compound: Tl2ZnAs
Source: Alexandria
Functional: GGA-PBEsol
Structure: relaxed

## Properties
Energy above the most stable polymorph in this dataset (meV per atom): 210.6
E_tot (eV per cell): -22.12
Total moment (μB per atom): 0.000

Cell lengths 4.7856, 4.7856, 8.0533 Å; angles 90.00, 90.00, 90.00 degrees
Space group I-4m2 (No. 119)
Unique sites:
1 Tl 0.0000 0.0000 0.0000 [2 per cell]
2 Tl 0.0000 0.5000 0.2500 [2 per cell]
3 Zn 0.0000 0.0000 0.5000 [2 per cell]
4 As 0.0000 0.5000 0.7500 [2 per cell]



Compound: Tl2ZnAs
Source: Alexandria
Functional: GGA-PBEsol
Structure: relaxed

## Properties
Energy above the most stable polymorph in this dataset (meV per atom): 0.0
E_tot (eV per cell): -35.70
Total moment (μB per atom): 0.000

Cell lengths 4.0656, 4.0656, 21.0288 Å; angles 90.00, 90.00, 120.00 degrees
Space group R3m (No. 160, hexagonal axes)
Unique sites:
1 Tl 0.0000 0.0000 0.0000 [3 per cell]
2 Tl 0.0000 0.0000 0.2182 [3 per cell]
3 Zn 0.0000 0.0000 0.7566 [3 per cell]
4 As 0.0000 0.0000 0.4558 [3 per cell]



Compound: TlZnAs2
Source: Alexandria
Functional: GGA-PBEsol
Structure: relaxed

## Properties
Energy above the most stable polymorph in this dataset (meV per atom): 226.6
E_tot (eV per cell): -26.12
Total moment (μB per atom): 0.000

Cell lengths 5.7973, 9.3905, 3.0583 Å; angles 90.00, 102.37, 90.00 degrees
Space group C2/m (No. 12)
Unique sites:
1 Tl 0.0000 0.0000 0.0000 [2 per cell]
2 Zn 0.0000 0.5000 0.0000 [2 per cell]
3 As 0.2500 0.2500 0.5000 [4 per cell]



Compound: ZrTlAs
Source: Alexandria
Functional: GGA-PBEsol
Structure: relaxed

## Properties
E_tot (eV per cell): -67.09
Total moment (μB per atom): 0.000

Cell lengths 6.6006, 6.6006, 6.6006 Å; angles 90.00, 90.00, 90.00 degrees
Space group F-43m (No. 216)
Unique sites:
1 Zr 0.0000 0.0000 0.0000 [4 per cell]
2 Tl 0.0000 0.0000 0.5000 [4 per cell]
3 As 0.2500 0.2500 0.7500 [4 per cell]



Compound: ZrTlAs2
Source: Alexandria
Functional: GGA-PBEsol
Structure: relaxed

## Properties
E_tot (eV per cell): -85.70
Total moment (μB per atom): 0.000

Cell lengths 6.9183, 6.9183, 6.9183 Å; angles 90.00, 90.00, 90.00 degrees
Space group F-43m (No. 216)
Unique sites:
1 Zr 0.0000 0.0000 0.0000 [4 per cell]
2 Tl 0.2500 0.2500 0.2500 [4 per cell]
3 As 0.0000 0.0000 0.5000 [4 per cell]
4 As 0.2500 0.2500 0.7500 [4 per cell]



Compound: U3As4
Source: Alexandria
Functional: GGA-PBEsol
Structure: relaxed

## Properties
E_tot (eV per cell): -246.54
Total moment (μB per atom): 0.847

Cell lengths 8.4981, 8.4981, 8.4981 Å; angles 90.00, 90.00, 90.00 degrees
Space group I-43d (No. 220)
Unique sites:
1 U 0.0000 0.2500 0.8750 [12 per cell]
2 As 0.0791 0.4209 0.5791 [16 per cell]



Compound: UAs
Source: Alexandria
Functional: GGA-PBEsol
Structure: relaxed

## Properties
E_tot (eV per cell): -73.58
Total moment (μB per atom): 1.036

Cell lengths 5.6701, 5.6701, 5.6701 Å; angles 90.00, 90.00, 90.00 degrees
Space group Fm-3m (No. 225)
Unique sites:
1 U 0.0000 0.0000 0.0000 [4 per cell]
2 As 0.0000 0.0000 0.5000 [4 per cell]



Compound: V4As3
Source: Alexandria
Functional: GGA-PBEsol
Structure: relaxed

## Properties
Energy above the most stable polymorph in this dataset (meV per atom): 0.0
E_tot (eV per cell): -460.71
Total moment (μB per atom): 0.000

Cell lengths 3.3373, 13.6839, 17.5633 Å; angles 90.00, 90.00, 90.00 degrees
Space group Cmcm (No. 63)
Unique sites:
1 V 0.0000 0.0000 0.0000 [4 per cell]
2 V 0.0000 0.0583 0.2500 [4 per cell]
3 V 0.0000 0.2661 0.1609 [8 per cell]
4 V 0.0000 0.3301 0.5262 [8 per cell]
5 V 0.0000 0.4685 0.1160 [8 per cell]
6 As 0.0000 0.1003 0.1166 [8 per cell]
7 As 0.0000 0.1566 0.5777 [8 per cell]
8 As 0.0000 0.3032 0.7500 [4 per cell]
9 As 0.0000 0.4181 0.2500 [4 per cell]



Compound: V20As11
Source: Alexandria
Functional: GGA-PBEsol
Structure: relaxed

## Properties
E_tot (eV per cell): -527.80
Total moment (μB per atom): 0.000

Cell lengths 4.7799, 13.2022, 13.1969 Å; angles 90.00, 90.00, 90.00 degrees
Space group C222 (No. 21)
Unique sites:
1 V 0.9997 0.2498 0.2475 [8 per cell]
2 V 0.2344 0.0740 0.1470 [8 per cell]
3 V 0.2352 0.1476 0.9271 [8 per cell]
4 V 0.2487 0.0746 0.3473 [8 per cell]
5 V 0.2499 0.1526 0.5752 [8 per cell]
6 As 0.0000 0.0000 0.5000 [2 per cell]
7 As 0.0000 0.5000 0.0000 [2 per cell]
8 As 0.0000 0.5000 0.5000 [2 per cell]
9 As 0.2488 0.4155 0.7521 [8 per cell]
10 As 0.2500 0.2500 0.0834 [4 per cell]
11 As 0.2500 0.2500 0.4136 [4 per cell]



Compound: V4As3
Source: Alexandria
Functional: GGA-PBEsol
Structure: relaxed

## Properties
Energy above the most stable polymorph in this dataset (meV per atom): 13.8
E_tot (eV per cell): -229.97
Total moment (μB per atom): 0.000

Cell lengths 13.7568, 3.3134, 8.9697 Å; angles 90.00, 100.52, 90.00 degrees
Space group C2/m (No. 12)
Unique sites:
1 V 0.0000 0.0000 0.0000 [2 per cell]
2 V 0.0000 0.0000 0.5000 [2 per cell]
3 V 0.0584 0.5000 0.2289 [4 per cell]
4 V 0.1640 0.5000 0.9479 [4 per cell]
5 V 0.2267 0.0000 0.6884 [4 per cell]
6 As 0.0717 0.0000 0.7670 [4 per cell]
7 As 0.1427 0.5000 0.4927 [4 per cell]
8 As 0.1744 0.0000 0.1548 [4 per cell]



Compound: VAs2
Source: Alexandria
Functional: GGA-PBEsol
Structure: relaxed

## Properties
E_tot (eV per cell): -84.99
Total moment (μB per atom): 0.000

Cell lengths 9.0085, 3.2353, 7.4097 Å; angles 90.00, 119.87, 90.00 degrees
Space group C2/m (No. 12)
Unique sites:
1 V 0.1540 0.0000 0.1936 [4 per cell]
2 As 0.0958 0.5000 0.8924 [4 per cell]
3 As 0.1474 0.0000 0.5344 [4 per cell]



Number 1: E_form 0.88 eV per atom, DOS(E_F) 5.275 states/eV/cell. Number 2: E_form 0.37 eV per atom, DOS(E_F) 0.998 states/eV/cell. Number 3: E_form 0.77 eV per atom, DOS(E_F) 6.931 states/eV/cell. Number 4: E_form 0.75 eV per atom, DOS(E_F) 8.029 states/eV/cell. Number 5: E_form 0.82 eV per atom, DOS(E_F) 2.337 states/eV/cell. Number 6: E_form 0.25 eV per atom, DOS(E_F) 4.829 states/eV/cell. Number 7: E_form -0.63 eV per atom, DOS(E_F) 15.701 states/eV/cell. Number 8: E_form -0.97 eV per atom, DOS(E_F) 5.250 states/eV/cell. Number 9: E_form -0.06 eV per atom, DOS(E_F) 18.023 states/eV/cell. Number 10: E_form -0.30 eV per atom, DOS(E_F) 10.642 states/eV/cell. Number 11: E_form 0.12 eV per atom, DOS(E_F) 4.716 states/eV/cell. Number 12: E_form 0.12 eV per atom, DOS(E_F) 9.253 states/eV/cell. Number 13: E_form 0.12 eV per atom, DOS(E_F) 2.675 states/eV/cell. Number 14: E_form 0.89 eV per atom, DOS(E_F) 4.257 states/eV/cell. Number 15: E_form 0.18 eV per atom, DOS(E_F) 2.352 states/eV/cell. Number 16: E_form 0.22 eV per atom, DOS(E_F) 3.350 states/eV/cell. Number 17: E_form 0.01 eV per atom, DOS(E_F) 3.780 states/eV/cell. Number 18: E_form 0.34 eV per atom, DOS(E_F) 3.486 states/eV/cell. Number 19: E_form 0.02 eV per atom, DOS(E_F) 4.376 states/eV/cell. Number 20: E_form 0.13 eV per atom, DOS(E_F) 7.935 states/eV/cell. Number 21: E_form -0.68 eV per atom, DOS(E_F) 38.295 states/eV/cell. Number 22: E_form -0.57 eV per atom, DOS(E_F) 24.854 states/eV/cell. Number 23: E_form -0.53 eV per atom, DOS(E_F) 42.004 states/eV/cell. Number 24: E_form -0.49 eV per atom, DOS(E_F) 40.907 states/eV/cell. Number 25: E_form -0.52 eV per atom, DOS(E_F) 20.154 states/eV/cell. Number 26: E_form -0.47 eV per atom, DOS(E_F) 1.855 states/eV/cell.